No. 1
Entry from the Alexandria database: SrZn2Ru after structural relaxation (PBE-GGA).

Crystal system ... orthorhombic
Calculated density ... 6478 kg/m³
DFT formation energy ... 159 meV/atom
Raw total energy ... -3.22 eV per atom
Space group ... No. 71
DOS(E_F) ... 1.33 states/eV/cell
Calculated volume ... 20.48 Å³/atom

a b c (Å): 5.5671 5.5671 5.5671
angles (deg): 143.29 126.34 66.78
With the nearest neighbours (Å) after each atom.
Sites, in units of the cell vectors:
1 Ru 0.7500 0.2500 0.5000  4 Zn 2.59
2 Zn 0.9548 0.9548 0.0000  2 Ru 2.59
3 Sr 0.2500 0.7500 0.5000  4 Ru 3.06, 8 Zn 3.15-3.26
4 Zn 0.5452 0.5452 0.0000  2 Ru 2.59

---

No. 2
Entry from the Alexandria database: LaZn2Re after structural relaxation (PBE-GGA).

Crystal system ... tetragonal
Calculated density ... 9901 kg/m³
DFT formation energy ... 210 meV/atom
Raw total energy ... -4.77 eV per atom
Space group ... No. 123
DOS(E_F) ... 2.75 states/eV/cell
Calculated volume ... 19.12 Å³/atom

a b c (Å): 3.4619 3.4619 6.3800
angles (deg): 90.00 90.00 90.00
With the nearest neighbours (Å) after each atom.
Sites, in units of the cell vectors:
1 La 0.5000 0.5000 0.2500  8 Zn 3.15, 2 Re 3.19, 4 La 3.46
2 Re 0.5000 0.5000 0.7500  8 Zn 2.73
3 Zn 0.0000 0.0000 0.5609  1 Zn 2.41
4 Zn 0.0000 0.0000 0.9391  1 Zn 2.41

---

No. 3
Entry from the Alexandria database: Na2Nb2VSe6 after structural relaxation (PBE-GGA).

Crystal system ... monoclinic
Calculated density ... 4946 kg/m³
Formation energy from raw total energies ... -0.890 eV per atom
Raw total energy ... -5.69 eV per atom
Space group ... No. 12
DOS(E_F) ... 4.37 states/eV/cell
Calculated volume ... 23.09 Å³/atom

a b c (Å): 6.3193 6.3193 7.6071
angles (deg): 96.75 96.75 120.61
With the nearest neighbours (Å) after each atom.
Sites, in units of the cell vectors:
1 Se 0.7533 0.7533 0.7364  2 Nb 2.57, 1 V 2.63
2 Se 0.6105 0.9493 0.3010  1 V 2.58, 2 Nb 2.60-2.80
3 Se 0.2467 0.2467 0.2636  2 Nb 2.57, 1 V 2.63
4 Nb 0.6349 0.3651 0.5000  6 Se 2.57-2.80
5 Na 0.8188 0.1812 0.0000  6 Se 2.94-3.02
6 Se 0.9493 0.6105 0.3010  1 V 2.58, 2 Nb 2.60-2.80
7 V 0.0000 0.0000 0.5000  6 Se 2.58-2.63
8 Nb 0.3651 0.6349 0.5000  6 Se 2.57-2.80
9 Na 0.1812 0.8188 0.0000  6 Se 2.94-3.02
10 Se 0.0507 0.3895 0.6990  1 V 2.58, 2 Nb 2.60-2.80
11 Se 0.3895 0.0507 0.6990  1 V 2.58, 2 Nb 2.60-2.80

---

No. 4
Entry from the Alexandria database: MgTl2CdPb after structural relaxation (PBE-GGA).

Crystal system ... tetragonal
Calculated density ... 7278 kg/m³
DFT formation energy ... 305 meV/atom
Raw total energy ... -1.89 eV per atom
Space group ... No. 123
DOS(E_F) ... 2.51 states/eV/cell
Calculated volume ... 34.35 Å³/atom

a b c (Å): 5.5518 5.5716 5.5518
angles (deg): 90.00 90.00 90.00
With the nearest neighbours (Å) after each atom.
Sites, in units of the cell vectors:
1 Tl 0.0000 0.0000 0.5000  2 Mg 2.78
2 Tl 0.5000 0.0000 0.0000  2 Mg 2.78
3 Pb 0.0000 0.5000 0.0000  2 Mg 2.79
4 Mg 0.0000 0.0000 0.0000  4 Tl 2.78, 2 Pb 2.79
5 Cd 0.5000 0.5000 0.5000  4 Pb 3.93, 8 Tl 3.93

---

No. 5
Entry from the Alexandria database: ZrCuNi2Sb after structural relaxation (PBE-GGA).

Crystal system ... tetragonal
Calculated density ... 6736 kg/m³
Formation energy from raw total energies ... 0.608 eV per atom
Raw total energy ... -5.06 eV per atom
Space group ... No. 123
DOS(E_F) ... 4.93 states/eV/cell
Calculated volume ... 19.42 Å³/atom

a b c (Å): 4.5770 4.6356 4.5770
angles (deg): 90.00 90.00 90.00
With the nearest neighbours (Å) after each atom.
Sites, in units of the cell vectors:
1 Sb 0.0000 0.0000 0.0000  4 Ni 2.29, 2 Cu 2.32
2 Cu 0.0000 0.5000 0.0000  2 Sb 2.32
3 Zr 0.5000 0.5000 0.5000  4 Cu 3.24, 8 Ni 3.26
4 Ni 0.0000 0.0000 0.5000  2 Sb 2.29
5 Ni 0.5000 0.0000 0.0000  2 Sb 2.29

---

No. 6
Entry from the Alexandria database: KNa6Ag6 after structural relaxation (PBE-GGA).

Crystal system ... orthorhombic
Calculated density ... 4276 kg/m³
DFT formation energy ... -38 meV/atom
Raw total energy ... -2.05 eV per atom
Space group ... No. 71
DOS(E_F) ... 3.68 states/eV/cell
Calculated volume ... 24.62 Å³/atom

a b c (Å): 5.7978 7.9788 7.9788
angles (deg): 84.45 68.70 68.70
With the nearest neighbours (Å) after each atom.
Sites, in units of the cell vectors:
1 Na 0.6514 0.3486 0.3486  3 Na 3.12-3.34, 6 Ag 3.21-3.22
2 Ag 0.5000 0.5000 0.0000  4 Ag 2.90-2.96, 6 Na 3.09-3.21
3 Na 0.3486 0.6514 0.6514  3 Na 3.12-3.34, 6 Ag 3.21-3.22
4 Ag 0.5000 0.7632 0.2368  4 Ag 2.96, 6 Na 3.09-3.22
5 Na 0.0000 0.3357 0.6643  6 Ag 3.09
6 Na 0.3122 0.1878 0.1878  6 Ag 3.11-3.19, 2 Na 3.34, 2 K 3.48
7 Na 0.6878 0.8122 0.8122  6 Ag 3.11-3.19, 2 Na 3.34, 2 K 3.48
8 Na 0.0000 0.6643 0.3357  6 Ag 3.09
9 Ag 0.5000 0.0000 0.5000  4 Ag 2.90-2.96, 6 Na 3.09-3.21
10 Ag 0.5000 0.2368 0.7632  4 Ag 2.96, 6 Na 3.09-3.22
11 Ag 0.0000 0.0000 0.5000  4 Ag 2.90-2.96, 6 Na 3.09-3.21
12 K 0.0000 0.0000 0.0000  8 Na 3.48-3.60, 4 Ag 3.85
13 Ag 0.0000 0.5000 0.0000  4 Ag 2.90-2.96, 6 Na 3.09-3.21

---

No. 7
Entry from the Alexandria database: BaCuNiC2 after structural relaxation (PBE-GGA).

Crystal system ... tetragonal
Calculated density ... 6321 kg/m³
DFT formation energy ... 1237 meV/atom
Raw total energy ... -4.81 eV per atom
Space group ... No. 123
DOS(E_F) ... 2.37 states/eV/cell
Calculated volume ... 14.90 Å³/atom

a b c (Å): 4.0073 4.6392 4.0073
angles (deg): 90.00 90.00 90.00
With the nearest neighbours (Å) after each atom.
Sites, in units of the cell vectors:
1 Ba 0.5000 0.5000 0.5000  4 Cu 2.83, 8 C 3.07
2 C 0.5000 0.0000 0.0000  2 Ni 2.00
3 Cu 0.0000 0.5000 0.0000  2 Ni 2.32
4 C 0.0000 0.0000 0.5000  2 Ni 2.00
5 Ni 0.0000 0.0000 0.0000  4 C 2.00

---

No. 8
Entry from the Alexandria database: LiNbCl6 after structural relaxation (PBE-GGA).

Crystal system ... monoclinic
Calculated density ... 2212 kg/m³
Formation energy from raw total energies ... -1.352 eV per atom
Raw total energy ... -4.24 eV per atom
Space group ... No. 12
DOS(E_F) ... 0.00 states/eV/cell
Calculated volume ... 29.32 Å³/atom

a b c (Å): 6.3417 7.1512 7.0169
angles (deg): 104.79 99.51 124.24
With the nearest neighbours (Å) after each atom.
Sites, in units of the cell vectors:
1 Cl 0.1330 0.8723 0.2694  1 Nb 2.40, 1 Li 2.52
2 Cl 0.8636 0.6029 0.7306  1 Nb 2.40, 1 Li 2.52
3 Cl 0.5493 0.2735 0.0000  1 Nb 2.36
4 Cl 0.8670 0.1277 0.7306  1 Nb 2.40, 1 Li 2.52
5 Cl 0.4507 0.7265 0.0000  1 Nb 2.36
6 Cl 0.1364 0.3971 0.2694  1 Nb 2.40, 1 Li 2.52
7 Li 0.0000 0.0000 0.0000  4 Cl 2.52
8 Nb 0.0000 0.5000 0.0000  6 Cl 2.36-2.40

---

No. 9
Entry from the Alexandria database: Dy2ScGa after structural relaxation (PBE-GGA).

Crystal system ... cubic
Calculated density ... 7342 kg/m³
DFT formation energy ... -143 meV/atom
Raw total energy ... -4.78 eV per atom
Space group ... No. 225
DOS(E_F) ... 5.89 states/eV/cell
Calculated volume ... 24.86 Å³/atom

a b c (Å): 5.2003 5.2003 5.2003
angles (deg): 60.00 60.00 60.00
With the nearest neighbours (Å) after each atom.
Sites, in units of the cell vectors:
1 Dy 0.7500 0.7500 0.7500  4 Sc 3.18, 4 Ga 3.18
2 Dy 0.2500 0.2500 0.2500  4 Sc 3.18, 4 Ga 3.18
3 Ga 0.5000 0.5000 0.5000  8 Dy 3.18
4 Sc 0.0000 0.0000 0.0000  8 Dy 3.18

---

No. 10
Entry from the Alexandria database: Pm7Cd2Ru2 after structural relaxation (PBE-GGA).

Crystal system ... orthorhombic
Calculated density ... 7190 kg/m³
DFT formation energy ... -154 meV/atom
Raw total energy ... -5.03 eV per atom
Space group ... No. 65
DOS(E_F) ... 11.52 states/eV/cell
Calculated volume ... 30.27 Å³/atom

a b c (Å): 6.9367 7.3023 6.9367
angles (deg): 90.00 108.60 90.00
With the nearest neighbours (Å) after each atom.
Sites, in units of the cell vectors:
1 Ru 0.2955 0.0000 0.7045  6 Pm 2.78-2.90
2 Pm 0.5000 0.2415 0.5000  2 Ru 2.90
3 Pm 0.5000 0.7585 0.5000  2 Ru 2.90
4 Pm 0.0000 0.2522 0.5000  2 Ru 2.78
5 Pm 0.5000 0.7478 0.0000  2 Ru 2.78
6 Pm 0.0000 0.0000 0.0000  2 Ru 3.33
7 Cd 0.8272 0.5000 0.8272  1 Cd 2.80
8 Cd 0.1728 0.5000 0.1728  1 Cd 2.80
9 Pm 0.5000 0.2522 0.0000  2 Ru 2.78
10 Ru 0.7045 0.0000 0.2955  6 Pm 2.78-2.90
11 Pm 0.0000 0.7478 0.5000  2 Ru 2.78

---

No. 11
Entry from the Alexandria database: Tb8Y2Al after structural relaxation (PBE-GGA).

Crystal system ... monoclinic
Calculated density ... 7218 kg/m³
DFT formation energy ... -39 meV/atom
Raw total energy ... -4.92 eV per atom
Space group ... No. 12
DOS(E_F) ... 13.76 states/eV/cell
Calculated volume ... 30.87 Å³/atom

a b c (Å): 5.4922 6.4733 9.9524
angles (deg): 87.07 106.02 90.00
With the nearest neighbours (Å) after each atom.
Sites, in units of the cell vectors:
1 Tb 0.8449 0.8126 0.6898  7 Tb 3.37-3.76, 4 Y 3.57-3.65
2 Tb 0.9587 0.2520 0.9174  2 Al 3.27, 6 Tb 3.55-3.66
3 Tb 0.1551 0.1874 0.3102  7 Tb 3.37-3.76, 4 Y 3.57-3.65
4 Tb 0.4210 0.6008 0.8421  1 Al 3.06, 3 Tb 3.23-3.37
5 Tb 0.0413 0.7480 0.0826  2 Al 3.27, 6 Tb 3.55-3.66
6 Al 0.5000 0.0000 0.0000  8 Tb 3.06-3.27
7 Y 0.7609 0.3320 0.5218  9 Tb 3.42-3.79, 2 Y 3.51
8 Tb 0.6570 0.8821 0.3140  1 Al 3.06, 2 Tb 3.38, 2 Y 3.42
9 Tb 0.5790 0.3992 0.1579  1 Al 3.06, 3 Tb 3.23-3.37
10 Tb 0.3430 0.1179 0.6860  1 Al 3.06, 2 Tb 3.38, 2 Y 3.42
11 Y 0.2391 0.6680 0.4782  9 Tb 3.42-3.79, 2 Y 3.51

---

No. 12
Entry from the Alexandria database: SnP after structural relaxation (PBE-GGA).

Crystal system ... tetragonal
Calculated density ... 2963 kg/m³
DFT formation energy ... 200 meV/atom
Raw total energy ... -4.51 eV per atom
Space group ... No. 83
Calculated volume ... 41.94 Å³/atom

a b c (Å): 12.9380 12.9380 4.0090
angles (deg): 90.00 90.00 90.00
With the nearest neighbours (Å) after each atom.
Sites, in units of the cell vectors:
1 Sn 0.8569 0.6513 0.0000  3 P 2.71-2.74
2 P 0.6281 0.2817 0.5000  4 Sn 2.54-2.71
3 Sn 0.6513 0.1431 0.0000  3 P 2.71-2.74
4 P 0.3719 0.7183 0.5000  4 Sn 2.54-2.71
5 P 0.2817 0.3719 0.5000  4 Sn 2.54-2.71
6 P 0.4401 0.1255 0.0000  3 Sn 2.55-2.74
7 Sn 0.2468 0.5671 0.5000  4 P 2.54-2.57
8 Sn 0.5671 0.7532 0.5000  4 P 2.54-2.57
9 Sn 0.3487 0.8569 0.0000  3 P 2.71-2.74
10 P 0.5599 0.8745 0.0000  3 Sn 2.55-2.74
11 Sn 0.4329 0.2468 0.5000  4 P 2.54-2.57
12 P 0.1255 0.5599 0.0000  3 Sn 2.55-2.74
13 Sn 0.7532 0.4329 0.5000  4 P 2.54-2.57
14 Sn 0.1431 0.3487 0.0000  3 P 2.71-2.74
15 P 0.8745 0.4401 0.0000  3 Sn 2.55-2.74
16 P 0.7183 0.6281 0.5000  4 Sn 2.54-2.71